Entry 1:
GGA-PBE Li2Cd8Ag3, relaxed; formation enthalpy at 0 K = -0.06 eV/atom; Fermi-level density of states = 4.32 states/eV per cell; volume = 274.10 Å³/cell; relative energy among the computed polymorphs = 0.09 eV/f.u.; E = -1.578 eV/atom
1.0
-3.367 -1.293 4.260
6.383 -1.367 4.630
-2.686 6.762 -1.219
Li Cd Ag
2 8 3
direct
0.288 0.194 0.387
0.712 0.806 0.613
0.889 0.598 0.196
0.111 0.402 0.804
0.805 0.196 0.391
0.195 0.804 0.609
0.564 0.566 0.754
0.564 0.189 0.754
0.436 0.811 0.246
0.436 0.434 0.246
0.500 0.000 0.000
0.000 0.174 0.000
0.000 0.826 0.000



Entry 2:
GGA-PBE Li2CdAg9, relaxed; formation enthalpy at 0 K = -0.10 eV/atom; Fermi-level density of states = 2.75 states/eV per cell; volume = 211.21 Å³/cell; E = -2.633 eV/atom
1.0
-0.676 -2.217 3.421
0.980 -3.454 -2.045
11.848 1.428 3.266
Li Cd Ag
2 1 9
direct
0.000 0.000 0.338
0.000 0.000 0.662
0.000 0.000 0.000
0.500 0.500 0.000
0.500 0.500 0.338
0.500 0.500 0.662
0.500 0.000 0.175
0.500 0.000 0.500
0.500 0.000 0.825
0.000 0.500 0.175
0.000 0.500 0.500
0.000 0.500 0.825



Entry 3:
GGA-PBE Li3Cd6Ag2, relaxed; formation enthalpy at 0 K = -0.03 eV/atom; Fermi-level density of states = 3.26 states/eV per cell; volume = 246.80 Å³/cell; relative energy among the computed polymorphs = 1.28 eV/f.u.; E = -1.569 eV/atom
1.0
-2.187 -0.647 -3.529
2.386 -3.349 -0.864
-9.016 -6.162 9.218
Li Cd Ag
3 6 2
direct
0.000 0.000 0.000
0.844 0.844 0.687
0.156 0.156 0.313
0.064 0.564 0.128
0.564 0.064 0.128
0.936 0.436 0.872
0.436 0.936 0.872
0.734 0.734 0.468
0.266 0.266 0.532
0.364 0.364 0.728
0.636 0.636 0.272



Entry 4:
GGA-PBE LiCd3Ag, relaxed; formation enthalpy at 0 K = -0.16 eV/atom; Fermi-level density of states = 1.97 states/eV per cell; volume = 195.60 Å³/cell; relative energy among the computed polymorphs = 0.00 eV/f.u.; E = -1.658 eV/atom
1.0
-1.028 3.950 1.533
-3.158 0.342 -2.999
-7.184 -2.296 7.301
Li Cd Ag
2 6 2
direct
0.477 0.750 0.694
0.171 0.250 0.306
0.767 0.250 0.114
0.379 0.250 0.890
0.574 0.250 0.500
0.269 0.750 0.110
0.881 0.750 0.886
0.074 0.750 0.500
0.671 0.750 0.307
0.978 0.250 0.693



Entry 5:
GGA-PBE Li3CdAg, relaxed; formation enthalpy at 0 K = -0.21 eV/atom; Fermi-level density of states = 3.65 states/eV per cell; volume = 175.83 Å³/cell; relative energy among the computed polymorphs = 0.00 eV/f.u.; E = -2.107 eV/atom
1.0
4.034 0.000 0.000
-2.017 4.625 0.181
0.000 -0.302 9.412
Li Cd Ag
6 2 2
direct
0.945 0.889 0.139
0.055 0.111 0.861
0.756 0.513 0.767
0.244 0.487 0.233
0.848 0.697 0.451
0.152 0.303 0.549
0.453 0.905 0.653
0.547 0.095 0.347
0.352 0.704 0.949
0.648 0.296 0.051



Entry 6:
GGA-PBE Li2Cd3Ag8, relaxed; formation enthalpy at 0 K = -0.04 eV/atom; Fermi-level density of states = 3.43 states/eV per cell; volume = 241.01 Å³/cell; relative energy among the computed polymorphs = 0.00 eV/f.u.; E = -2.301 eV/atom
1.0
-0.370 -2.775 -0.814
7.563 -2.680 5.691
-8.579 -0.013 3.947
Li Cd Ag
2 3 8
direct
0.500 0.375 0.540
0.500 0.625 0.460
0.500 0.000 0.000
0.000 0.230 0.927
0.000 0.770 0.073
0.000 0.548 0.184
0.000 0.452 0.816
0.000 0.107 0.333
0.000 0.893 0.667
0.500 0.680 0.760
0.500 0.151 0.628
0.500 0.849 0.372
0.500 0.320 0.240



Entry 7:
GGA-PBE Li2CdAg2, relaxed; formation enthalpy at 0 K = -0.15 eV/atom; Fermi-level density of states = 3.82 states/eV per cell; volume = 171.42 Å³/cell; relative energy among the computed polymorphs = 0.25 eV/f.u.; E = -2.235 eV/atom
1.0
-0.717 -4.792 5.851
5.403 -4.438 -2.973
2.069 1.517 1.496
Li Ag Cd
4 4 2
direct
0.363 0.863 0.000
0.863 0.637 0.000
0.637 0.137 0.000
0.137 0.363 0.000
0.157 0.657 0.500
0.657 0.843 0.500
0.843 0.343 0.500
0.343 0.157 0.500
0.000 0.000 0.000
0.500 0.500 0.000



Entry 8:
GGA-PBE Li3Cd4Ag4, relaxed; formation enthalpy at 0 K = -0.08 eV/atom; Fermi-level density of states = 3.03 states/eV per cell; volume = 222.12 Å³/cell; relative energy among the computed polymorphs = 0.84 eV/f.u.; E = -1.976 eV/atom
1.0
3.086 0.000 0.000
0.000 9.177 0.000
-1.543 -4.588 7.844
Li Cd Ag
3 4 4
direct
0.130 0.130 0.260
0.870 0.870 0.740
0.000 0.500 0.000
0.204 0.704 0.407
0.796 0.296 0.593
0.500 0.827 0.000
0.500 0.173 0.000
0.330 0.075 0.659
0.670 0.416 0.341
0.670 0.925 0.341
0.330 0.584 0.659



Entry 9:
GGA-PBE Li2Cd2Ag, relaxed; formation enthalpy at 0 K = -0.22 eV/atom; Fermi-level density of states = 1.56 states/eV per cell; volume = 91.69 Å³/cell; relative energy among the computed polymorphs = 0.00 eV/f.u.; E = -1.925 eV/atom
1.0
3.948 0.000 1.731
1.899 4.568 1.038
0.106 -0.085 5.127
Li Cd Ag
2 2 1
direct
0.203 0.198 0.397
0.797 0.802 0.603
0.595 0.608 0.202
0.405 0.392 0.798
0.000 0.000 0.000



Entry 10:
GGA-PBE Li2Cd2Ag, relaxed; formation enthalpy at 0 K = -0.13 eV/atom; Fermi-level density of states = 4.28 states/eV per cell; volume = 186.16 Å³/cell; relative energy among the computed polymorphs = 0.45 eV/f.u.; E = -1.835 eV/atom
1.0
-3.010 -6.109 -3.548
6.786 -3.573 0.396
-0.808 -1.225 2.795
Li Ag Cd
4 2 4
direct
0.163 0.663 0.500
0.663 0.837 0.500
0.837 0.337 0.500
0.337 0.163 0.500
0.000 0.000 0.000
0.500 0.500 0.000
0.363 0.863 0.000
0.863 0.637 0.000
0.637 0.137 0.000
0.137 0.363 0.000



Entry 11:
GGA-PBE Li3Cd4Ag4, relaxed; formation enthalpy at 0 K = -0.16 eV/atom; Fermi-level density of states = 4.07 states/eV per cell; volume = 200.90 Å³/cell; relative energy among the computed polymorphs = 0.00 eV/f.u.; E = -2.053 eV/atom
1.0
-2.361 1.496 0.845
-2.520 -3.939 0.111
3.647 0.947 14.530
Li Cd Ag
3 4 4
direct
0.742 0.636 0.272
0.258 0.364 0.728
0.999 0.000 0.000
0.247 0.547 0.095
0.752 0.453 0.904
0.944 0.820 0.640
0.057 0.180 0.360
0.620 0.089 0.180
0.611 0.276 0.551
0.391 0.724 0.449
0.379 0.911 0.820



Entry 12:
GGA-PBE Li4CdAg5, relaxed; formation enthalpy at 0 K = -0.19 eV/atom; Fermi-level density of states = 1.25 states/eV per cell; volume = 167.24 Å³/cell; E = -2.468 eV/atom
1.0
-2.592 1.997 -0.312
-1.658 -2.391 -1.530
-5.444 -4.939 13.620
Li Cd Ag
4 1 5
direct
0.000 0.000 0.208
0.000 0.000 0.403
0.000 0.000 0.597
0.000 0.000 0.792
0.000 0.000 0.000
0.500 0.500 0.115
0.500 0.500 0.307
0.500 0.500 0.500
0.500 0.500 0.693
0.500 0.500 0.885



Which value of E does entry 1 give? -1.578 eV/atom



Number 2 is which compound? Li2CdAg9



Look up the formation enthalpy at 0 K of the eleventh one. -0.16 eV/atom



What did the second record say?
GGA-PBE Li2CdAg9, relaxed; formation enthalpy at 0 K = -0.10 eV/atom; Fermi-level density of states = 2.75 states/eV per cell; volume = 211.21 Å³/cell; E = -2.633 eV/atom
1.0
-0.676 -2.217 3.421
0.980 -3.454 -2.045
11.848 1.428 3.266
Li Cd Ag
2 1 9
direct
0.000 0.000 0.338
0.000 0.000 0.662
0.000 0.000 0.000
0.500 0.500 0.000
0.500 0.500 0.338
0.500 0.500 0.662
0.500 0.000 0.175
0.500 0.000 0.500
0.500 0.000 0.825
0.000 0.500 0.175
0.000 0.500 0.500
0.000 0.500 0.825